[1]
Below is BaAg2W after structural relaxation, with properties calculated at the PBE level.

The structure belongs to space group P4/mmm (No. 123); the cell edges are 5.408, 5.408 and 3.094 Å and the angles 90.00°, 90.00° and 90.00°. The distinct sites, in fractional coordinates, are Ba at (0.000, 0.000, 0.000), Ag at (0.000, 0.500, 0.500) and W at (0.500, 0.500, 0.000).

The value obtained for the formation energy is 0.93 eV per atom. For the energy above the most stable polymorph in this dataset, the calculation gives 193 meV per atom. Its crystal system is tetragonal.



[2]
Below is LiZn2Te after structural relaxation, with properties calculated at the PBE level.

The structure belongs to space group R-3m (No. 166, hexagonal axes); the cell edges are 3.3370, 3.3370 and 26.7063 Å and the angles 90.00°, 90.00° and 120.00°. The distinct sites, in fractional coordinates, are Li at (0.0000, 0.0000, 0.0000), Zn at (0.0000, 0.0000, 0.2571) and Te at (0.0000, 0.0000, 0.5000).

For the formation energy (no corrections), the calculation gives 0.28 eV per formula unit. Its crystal system is trigonal.



[3]
Below is TbU4Se8 after structural relaxation, with properties calculated at the PBE level.

The structure belongs to space group R-3m (No. 166, hexagonal axes); the cell edges are 8.0826, 8.0826 and 20.3665 Å and the angles 90.00°, 90.00° and 120.00°. The distinct sites, in fractional coordinates, are Tb at (0.0000, 0.0000, 0.0000), U at (0.0000, 0.0000, 0.5000), U at (0.0000, 0.5000, 0.5000), Se at (0.0000, 0.0000, 0.2449) and Se at (0.0004, 0.5002, 0.2503).

For the formation energy (no corrections), the calculation gives -16.29 eV per formula unit. Its crystal system is trigonal.



[4]
Below is TbCeCI after structural relaxation, with properties calculated at the PBE level.

The structure belongs to space group R3m (No. 160, hexagonal axes); the cell edges are 3.7759, 3.7759 and 23.0862 Å and the angles 90.00°, 90.00° and 120.00°. The distinct sites, in fractional coordinates, are Tb at (0.0000, 0.0000, 0.0000), Ce at (0.0000, 0.0000, 0.2180), C at (0.0000, 0.0000, 0.6105) and I at (0.0000, 0.0000, 0.4372).

For the formation energy (no corrections), the calculation gives -2.76 eV per formula unit. Its crystal system is trigonal.